1.
Compound: CrNiP2
Source: Alexandria via LeMat-Bulk
Functional: GGA-PBE
Structure: relaxed

Summary:
For the total energy, the calculation gives -6.860 eV per atom. As for the space-group type: Cm.

Unit cell a=4.2147 b=4.2147 c=4.1163 alpha=76.67 beta=76.67 gamma=42.22
Fractional coordinates of all 4 atoms:
Cr (0.4821, 0.4821, 0.6038)
Ni (0.2579, 0.2579, 0.2040)
P (0.9975, 0.9975, 0.0492)
P (0.7625, 0.7625, 0.6429)

=====

2.
Compound: ZrCd2Re
Source: Alexandria via LeMat-Bulk
Functional: GGA-PBE
Structure: relaxed

Summary:
The offset from the most stable computed form comes out at 2.63 kcal/mol of atoms. As for the space-group type: Pmm2.

Unit cell a=2.8449 b=4.3843 c=6.2352 alpha=90.00 beta=90.00 gamma=90.00
Fractional coordinates of all 4 atoms:
Cd (0.0000, 0.0000, 0.0095)
Cd (0.5000, 0.5000, 0.2525)
Re (0.0000, 0.0000, 0.5098)
Zr (0.5000, 0.5000, 0.7282)

=====

3.
Compound: SrVPCl2
Source: Alexandria via LeMat-Bulk
Functional: GGA-PBE
Structure: relaxed

Summary:
Its uncorrected formation energy is 0.013 eV per atom. The offset from the most stable computed form comes out at 24.60 kcal/mol of atoms. As for the space-group type: P4/mmm.

Unit cell a=5.3773 b=5.3773 c=6.1116 alpha=90.00 beta=90.00 gamma=90.00
Each line ends with the local moment (μB).
Fractional coordinates of all 5 atoms:
Sr (0.0000, 0.0000, 0.0000)  -0.03
Cl (0.0000, 0.5000, 0.0000)  -0.03
Cl (0.5000, 0.0000, 0.0000)  -0.03
P (0.0000, 0.0000, 0.5000)  -0.68
V (0.5000, 0.5000, 0.5000)  3.14

=====

4.
Compound: Zr2SiSb
Source: Alexandria via LeMat-Bulk
Functional: GGA-PBE
Structure: relaxed

Summary:
Its uncorrected formation energy is -0.416 eV per atom. The offset from the most stable computed form comes out at 5.94 kcal/mol of atoms. As for the space-group type: Cmmm.

Unit cell a=4.7460 b=4.7460 c=3.7060 alpha=90.00 beta=90.00 gamma=99.84
Fractional coordinates of all 4 atoms:
Sb (0.5000, 0.0000, 0.5000)
Si (0.0000, 0.5000, 0.5000)
Zr (0.0000, 0.0000, 0.0000)
Zr (0.5000, 0.5000, 0.0000)

=====

5.
Compound: LaErU
Source: Alexandria via LeMat-Bulk
Functional: GGA-PBE
Structure: relaxed

Summary:
For the total energy, the calculation gives -6.683 eV per atom. As for the space-group type: C2/m.

Unit cell a=3.6335 b=5.9883 c=8.6897 alpha=101.09 beta=102.07 gamma=90.00
Each line ends with the local moment (μB).
Fractional coordinates of all 6 atoms:
U (0.7603, 0.1459, 0.5205)  0.73
U (0.2397, 0.8541, 0.4795)  0.73
Er (0.5716, 0.7939, 0.1431)  0.00
Er (0.4284, 0.2061, 0.8569)  0.00
La (0.8799, 0.6875, 0.7597)  0.02
La (0.1201, 0.3125, 0.2403)  0.02

=====

6.
Compound: LaBiSeBr2
Source: Alexandria via LeMat-Bulk
Functional: GGA-PBE
Structure: relaxed

Summary:
Its uncorrected formation energy is -0.349 eV per atom. The offset from the most stable computed form comes out at 11.32 kcal/mol of atoms. As for the space-group type: P4/mmm.

Unit cell a=5.6786 b=5.6786 c=5.7430 alpha=90.00 beta=90.00 gamma=90.00
Each line ends with the local moment (μB).
Fractional coordinates of all 5 atoms:
Se (0.0000, 0.0000, 0.5000)  -0.02
Bi (0.0000, 0.0000, 0.0000)  0.00
Br (0.0000, 0.5000, 0.0000)  0.00
Br (0.5000, 0.0000, 0.0000)  0.00
La (0.5000, 0.5000, 0.5000)  0.63

=====

7.
Compound: MnGaTc
Source: Alexandria via LeMat-Bulk
Functional: GGA-PBE
Structure: relaxed

Summary:
The offset from the most stable computed form comes out at 0.00 kcal/mol of atoms. As for the space-group type: I4mm.

Unit cell a=2.9146 b=2.9146 c=5.0647 alpha=106.72 beta=106.72 gamma=90.00
Fractional coordinates of all 3 atoms:
Mn (0.9522, 0.9522, 0.9044)
Tc (0.6069, 0.6069, 0.2138)
Ga (0.2909, 0.2909, 0.5818)

=====

8.
Compound: YCdS
Source: Alexandria via LeMat-Bulk
Functional: GGA-PBE
Structure: relaxed

Summary:
Its uncorrected formation energy is -1.113 eV per atom. As for the space-group type: R-3m.

Unit cell a=4.7344 b=4.7344 c=8.0929 alpha=72.99 beta=72.99 gamma=60.00
Fractional coordinates of all 6 atoms:
Y (0.5916, 0.5916, 0.2253)
Y (0.4084, 0.4084, 0.7747)
S (0.2864, 0.2864, 0.1407)
S (0.7136, 0.7136, 0.8593)
Cd (0.8364, 0.8364, 0.4908)
Cd (0.1636, 0.1636, 0.5092)